# Fe2Te4BrClO10, relaxed, DFT PBE+U
data_Fe2Te4BrClO10
_symmetry_space_group_name_H-M 'P 1 21/c 1'
_symmetry_Int_Tables_number 14
_cell_length_a 13.464
_cell_length_b 6.703
_cell_length_c 14.467
_cell_angle_alpha 90.00
_cell_angle_beta 109.05
_cell_angle_gamma 90.00
loop_
_symmetry_equiv_pos_as_xyz
'x,y,z'
'-x,-y,-z'
'-x,y+1/2,-z+1/2'
'x,-y+1/2,z+1/2'
loop_
_atom_site_label
_atom_site_fract_x
_atom_site_fract_y
_atom_site_fract_z
_atom_site_occupancy
Fe1 0.062 0.206 0.145 1
Fe2 0.119 0.502 0.982 1
Te1 0.113 0.689 0.216 1
Te2 0.200 0.517 0.525 1
Te3 0.282 0.206 0.365 1
Te4 0.373 0.020 0.644 1
Br1 0.438 0.738 0.044 1
Cl1 0.390 0.621 0.781 1
O1 0.010 0.241 0.253 1
O2 0.039 0.513 0.103 1
O3 0.091 0.700 0.451 1
O4 0.101 0.576 0.639 1
O5 0.114 0.215 0.022 1
O6 0.187 0.013 0.383 1
O7 0.210 0.229 0.731 1
O8 0.215 0.052 0.898 1
O9 0.235 0.596 0.098 1
O10 0.344 0.227 0.553 1
# E_tot	-5.36	eV per atom
# total magnetization	0.552	μB per atom